Entry from Alexandria via LeMat-Bulk: an optimized crystal structure of LiMn3Se (PBEsol).

```
5
Lattice="4.273 0.000 0.000 0.000 4.273 0.000 0.000 0.000 4.273" Properties=species:S:1:pos:R:3 pbc="T T T"
Mn 0.000 2.137 0.000
Mn 0.000 0.000 2.137
Mn 2.137 0.000 0.000
Se 2.137 2.137 2.137
Li 0.000 0.000 0.000
```

Symmetry   Pm-3m
Energy relative to the elements, uncorrected   98.4 kJ per mole of atoms

***

Entry from Alexandria via LeMat-Bulk: an optimized crystal structure of NbFeHgF2 (PBEsol).

```
5
Lattice="-1.424 3.552 -0.839 -1.981 0.004 3.380 4.418 2.382 2.587" Properties=species:S:1:pos:R:3 pbc="T T T"
Nb 0.507 2.969 2.564
F -0.990 0.002 1.690
F -0.712 1.776 -0.419
Hg 2.209 1.191 1.293
Fe 0.000 0.000 0.000
```

Symmetry   P4/mmm
Energy relative to the elements, uncorrected   -25.0 kJ per mole of atoms

***

Entry from Alexandria via LeMat-Bulk: an optimized crystal structure of ZrScTl2 (PBEsol).

```
4
Lattice="3.240 0.000 0.000 0.000 5.218 0.000 0.000 0.000 5.218" Properties=species:S:1:pos:R:3 pbc="T T T"
Sc 1.620 0.000 0.000
Tl 0.000 0.000 2.609
Tl 0.000 2.609 0.000
Zr 1.620 2.609 2.609
```

Symmetry   P4/mmm

***

Entry from Alexandria via LeMat-Bulk: an optimized crystal structure of Zr2BeNi (PBEsol).

```
4
Lattice="-2.963 -1.042 -0.812 1.371 -3.626 -0.353 0.479 -0.329 5.247" Properties=species:S:1:pos:R:3 pbc="T T T"
Ni -0.258 -2.520 3.425
Zr 0.369 -0.329 4.817
Zr -1.317 -2.684 0.997
Be -0.670 -0.478 2.308
```

Symmetry   Pm

***

Entry from Alexandria via LeMat-Bulk: an optimized crystal structure of Li2SbC (PBEsol).

```
8
Lattice="3.592 0.000 0.000 0.000 3.592 0.000 -1.796 -1.796 8.446" Properties=species:S:1:pos:R:3 pbc="T T T"
Sb 0.000 1.796 4.223
Sb 0.000 0.000 0.000
C 1.796 0.000 4.223
C 1.796 1.796 0.000
Li 2.480 2.694 2.111
Li 1.111 0.898 2.111
Li -0.898 0.685 6.334
Li 0.898 -0.685 6.334
```

Symmetry   I-42d
Energy relative to the elements, uncorrected   61.5 kJ per mole of atoms

***

Entry from Alexandria via LeMat-Bulk: an optimized crystal structure of Cr20W3C6 (PBEsol).

```
29
Lattice="-2.496 4.270 5.606 -7.175 2.089 0.198 -4.594 -2.890 5.141" Properties=species:S:1:pos:R:3 pbc="T T T"
Cr -5.474 1.173 6.639
Cr -6.660 3.462 4.367
Cr -8.772 2.133 6.730
Cr -7.625 0.170 4.153
Cr -8.792 2.296 4.306
Cr -7.605 0.007 6.578
Cr -5.493 1.336 4.215
Cr -6.641 3.299 6.792
Cr -4.109 3.518 3.742
Cr -2.474 0.720 0.068
Cr -5.484 -1.174 3.437
Cr -1.584 -0.996 1.772
Cr -3.219 1.802 5.446
Cr -6.285 0.373 1.902
Cr -3.010 -1.894 3.369
Cr -4.702 1.369 0.130
Cr -1.636 2.798 3.673
Cr -5.562 2.841 2.062
Cr -3.871 -0.422 5.301
Cr -0.861 1.472 1.932
W 0.000 0.000 0.000
W -10.699 2.602 8.209
W -3.566 0.867 2.736
C -5.985 -0.356 5.323
C -7.114 1.574 7.857
C -5.037 2.881 5.533
C -8.281 3.826 5.622
C -7.152 1.895 3.088
C -9.229 0.588 5.412
```

Symmetry   Fm-3m

***

Entry from Alexandria via LeMat-Bulk: an optimized crystal structure of Ag3Se2 (PBEsol).

```
10
Lattice="4.248 0.000 0.000 2.124 6.447 0.000 2.124 0.000 7.608" Properties=species:S:1:pos:R:3 pbc="T T T"
Ag 1.659 1.112 3.761
Ag 5.907 5.335 3.847
Ag 6.969 2.112 7.566
Ag 2.721 4.336 0.043
Ag 3.845 3.224 3.804
Ag 2.783 0.000 0.000
Se 2.791 2.084 1.552
Se 7.039 4.364 6.056
Se 3.853 1.140 5.356
Se 3.853 5.307 2.252
```

Symmetry   Fdd2
Energy relative to the elements, uncorrected   1.5 kJ per mole of atoms
Relative energy among the computed polymorphs   0.0 meV per atom

***

Entry from Alexandria via LeMat-Bulk: an optimized crystal structure of Li4Fe3Cu3Te2O16 (PBEsol).

```
28
Lattice="5.716 0.000 0.000 -2.858 5.143 -0.063 0.000 -0.592 9.627" Properties=species:S:1:pos:R:3 pbc="T T T"
Te 0.000 3.106 4.619
Te 2.858 1.168 9.482
Li 0.000 2.854 8.763
Li 0.000 -0.507 9.476
Li 0.000 -0.197 4.639
Li 2.858 1.330 3.907
Fe 0.000 1.666 2.084
Fe 4.217 0.437 6.848
Fe 1.499 0.437 6.848
O 1.439 4.014 5.616
O 0.000 4.637 3.312
O 0.000 3.192 1.160
O 0.000 -0.005 2.794
O 0.000 -0.353 7.620
O -1.439 4.014 5.616
O 1.260 2.248 3.349
O -1.260 2.248 3.349
O 2.858 3.501 0.757
O 0.000 1.476 5.740
O 4.168 1.868 8.137
O 1.548 1.868 8.137
O 2.858 1.244 5.901
O 4.299 0.951 0.867
O 2.858 -0.394 8.281
O 1.417 0.951 0.867
Cu 1.405 4.186 1.957
Cu -1.405 4.186 1.957
Cu 2.858 2.988 6.824
```

Symmetry   Cm
Energy relative to the elements, uncorrected   -119.9 kJ per mole of atoms

***

Entry from Alexandria via LeMat-Bulk: an optimized crystal structure of K2Cl3 (PBEsol).

```
10
Lattice="-0.983 0.386 3.043 -4.744 -3.580 0.627 9.604 -12.336 6.370" Properties=species:S:1:pos:R:3 pbc="T T T"
K 7.395 -10.254 7.415
K -3.700 -5.204 3.192
K 3.564 -9.817 5.271
K 0.622 -5.834 3.816
Cl 4.694 -11.612 7.627
Cl -0.542 -4.025 1.565
Cl 6.266 -8.413 5.172
Cl -2.606 -7.031 5.541
Cl -0.090 0.035 0.280
Cl 1.603 -7.633 6.060
```

Symmetry   Fdd2
Energy relative to the elements, uncorrected   -124.0 kJ per mole of atoms

***

Entry from Alexandria via LeMat-Bulk: an optimized crystal structure of CdFeHgCl2 (PBEsol).

```
5
Lattice="5.013 0.000 0.000 0.000 5.013 0.000 0.000 0.000 5.675" Properties=species:S:1:pos:R:3 pbc="T T T"
Fe 2.507 2.507 2.837
Cl 0.000 2.507 0.000
Cl 2.507 0.000 0.000
Hg 0.000 0.000 2.837
Cd 0.000 0.000 0.000
```

Symmetry   P4/mmm
Energy relative to the elements, uncorrected   44.2 kJ per mole of atoms

***

Entry from Alexandria via LeMat-Bulk: an optimized crystal structure of GaHg2B (PBEsol).

```
4
Lattice="-2.502 0.825 3.865 0.707 -2.577 3.839 2.048 1.903 3.750" Properties=species:S:1:pos:R:3 pbc="T T T"
B 0.000 0.000 0.000
Hg 0.063 0.038 2.863
Hg 0.190 0.114 8.590
Ga 0.127 0.076 5.727
```

Symmetry   Fm-3m

***

Entry from Alexandria via LeMat-Bulk: an optimized crystal structure of Y3RuN (PBEsol).

```
5
Lattice="5.137 0.000 0.000 0.000 5.137 0.000 0.000 0.000 5.137" Properties=species:S:1:pos:R:3 pbc="T T T"
Y 0.000 2.569 0.000
Y 0.000 0.000 2.569
Y 2.569 0.000 0.000
Ru 0.000 0.000 0.000
N 2.569 2.569 2.569
```

Symmetry   Pm-3m
Energy relative to the elements, uncorrected   77.6 kJ per mole of atoms

***

Entry from Alexandria via LeMat-Bulk: an optimized crystal structure of Be5Ni (PBEsol).

```
6
Lattice="-1.424 0.966 -2.249 -2.438 -2.254 0.576 -1.713 2.904 4.116" Properties=species:S:1:pos:R:3 pbc="T T T"
Ni -1.219 -1.127 0.288
Be -2.319 2.728 0.858
Be -0.818 1.143 1.009
Be -0.712 0.483 -1.124
Be -2.835 1.129 2.280
Be -2.741 0.487 0.162
```

Symmetry   Cmmm

***

Entry from Alexandria via LeMat-Bulk: an optimized crystal structure of ZrNi2Se (PBEsol).

```
4
Lattice="3.750 0.000 0.000 0.000 3.750 0.000 -1.875 -1.875 4.097" Properties=species:S:1:pos:R:3 pbc="T T T"
Ni 1.875 0.000 2.048
Ni 0.000 1.875 2.048
Se 1.875 1.875 0.000
Zr 0.000 0.000 0.000
```

Symmetry   I4/mmm
Energy relative to the elements, uncorrected   -34.6 kJ per mole of atoms

***

Entry from Alexandria via LeMat-Bulk: an optimized crystal structure of NbGa3Ni12 (PBEsol).

```
16
Lattice="-0.784 -3.467 -0.315 2.659 -0.805 2.239 -8.860 1.015 10.890" Properties=species:S:1:pos:R:3 pbc="T T T"
Nb 0.000 0.000 0.000
Ga -2.264 0.259 2.783
Ga -4.430 0.508 5.445
Ga -6.596 0.756 8.107
Ni 0.938 -2.136 0.962
Ni -1.304 -1.879 3.718
Ni -3.492 -1.628 6.407
Ni -5.680 -1.377 9.096
Ni -1.535 -1.602 1.248
Ni -3.730 -1.351 3.946
Ni -5.913 -1.101 6.629
Ni -8.108 -0.849 9.327
Ni 0.186 -0.271 2.525
Ni -2.009 -0.020 5.223
Ni -4.192 0.230 7.906
Ni -6.387 0.482 10.604
```

Symmetry   P4/mmm

***

Entry from Alexandria via LeMat-Bulk: an optimized crystal structure of LaNiAg2 (PBEsol).

```
4
Lattice="-3.060 -3.010 -1.360 0.557 -2.259 3.747 -2.002 3.271 2.269" Properties=species:S:1:pos:R:3 pbc="T T T"
Ag -3.862 -0.234 0.433
Ag -1.200 0.494 0.476
La -1.252 -2.634 1.193
Ni -0.723 0.506 3.008
```

Symmetry   P2/m

***

Entry from Alexandria via LeMat-Bulk: an optimized crystal structure of Rb3Mo15Se17 (PBEsol).

```
70
Lattice="9.439 0.000 0.000 -4.720 8.175 0.000 0.000 0.000 20.900" Properties=species:S:1:pos:R:3 pbc="T T T"
Rb 0.000 0.000 2.906
Rb 0.000 0.000 13.356
Rb 0.000 0.000 17.994
Rb 0.000 0.000 7.544
Rb 0.000 5.450 15.675
Rb 4.720 2.725 5.225
Mo -0.905 4.219 5.225
Mo 3.202 2.893 15.675
Mo 5.333 1.326 15.675
Mo -0.613 6.849 5.225
Mo 1.518 5.282 5.225
Mo 5.624 3.956 15.675
Mo 6.243 2.572 13.452
Mo 0.629 4.054 3.002
Mo 0.894 6.693 3.002
Mo 3.826 1.482 13.452
Mo 4.090 4.121 13.452
Mo -1.524 5.603 3.002
Mo -1.524 5.603 7.448
Mo 4.090 4.121 17.898
Mo 3.826 1.482 17.898
Mo 0.894 6.693 7.448
Mo 0.629 4.054 7.448
Mo 6.243 2.572 17.898
Mo 5.641 3.935 11.178
Mo 1.509 5.257 0.728
Mo -0.587 6.853 0.728
Mo 5.307 1.322 11.178
Mo 3.211 2.918 11.178
Mo -0.922 4.240 0.728
Mo -0.922 4.240 9.722
Mo 3.211 2.918 20.172
Mo 5.307 1.322 20.172
Mo -0.587 6.853 9.722
Mo 1.509 5.257 9.722
Mo 5.641 3.935 20.172
Se 1.755 3.039 13.418
Se 7.680 2.373 19.993
Se 2.935 0.338 19.993
Se 1.175 2.711 9.543
Se 1.175 2.711 0.907
Se 2.935 0.338 11.357
Se 0.000 5.450 11.728
Se 4.720 2.725 1.278
Se 4.720 2.725 9.172
Se 0.000 5.450 19.622
Se -2.994 5.790 5.225
Se 3.518 5.488 15.675
Se 2.928 0.302 15.675
Se 1.792 7.872 5.225
Se 1.202 2.687 5.225
Se 7.714 2.384 15.675
Se -1.754 3.040 2.968
Se -2.960 5.802 9.543
Se 5.930 0.001 13.418
Se 7.680 2.373 11.357
Se 2.964 5.136 2.968
Se 6.474 5.135 13.418
Se 6.474 5.135 17.932
Se 2.964 5.136 7.482
Se -1.210 8.174 7.482
Se 5.930 0.001 17.932
Se 1.755 3.039 17.932
Se -1.754 3.040 7.482
Se 3.544 5.464 19.993
Se 1.785 7.837 9.543
Se 3.544 5.464 11.357
Se 1.785 7.837 0.907
Se -2.960 5.802 0.907
Se -1.210 8.174 2.968
```

Symmetry   P6_3/m
Energy relative to the elements, uncorrected   -64.1 kJ per mole of atoms

***

Entry from Alexandria via LeMat-Bulk: an optimized crystal structure of Ru2PtBr (PBEsol).

```
4
Lattice="2.806 0.000 0.000 0.000 2.806 0.000 0.000 0.000 8.019" Properties=species:S:1:pos:R:3 pbc="T T T"
Ru 0.000 0.000 0.186
Ru 1.403 1.403 1.813
Br 0.000 0.000 3.713
Pt 1.403 1.403 6.316
```

Symmetry   P4mm
Energy relative to the elements, uncorrected   45.5 kJ per mole of atoms
Relative energy among the computed polymorphs   0.0 meV per atom

***

Entry from Alexandria via LeMat-Bulk: an optimized crystal structure of BiH3 (PBEsol).

```
4
Lattice="3.495 0.000 0.000 -1.747 3.560 -0.029 0.000 -1.691 3.058" Properties=species:S:1:pos:R:3 pbc="T T T"
H 0.000 0.512 2.279
H 1.747 1.357 0.750
H 1.747 -0.845 1.529
Bi 0.000 0.000 0.000
```

Symmetry   I4/mmm

***

no.,raw total energy (eV/atom),Fermi-level density of states (states/eV per atom)
1,-6.00,0.46
2,-5.10,1.59
3,-5.44,0.70
4,-7.35,0.96
5,-3.90,0.20
6,-10.61,0.85
7,-3.51,0.40
8,-6.20,0.29
9,-2.94,0.48
10,-2.49,0.74
11,-1.94,0.52
12,-7.03,1.05
13,-4.53,0.22
14,-6.67,0.57
15,-6.26,0.93
16,-4.59,0.51
17,-7.67,0.27
18,-6.82,1.00
19,-2.87,0.16